[1]
VASP calculation (PBE) on a relaxed structure of Mo2HPt.

a b c (Å): 4.9723 2.8412 7.1239
angles (deg): 90.00 103.23 90.00
With the nearest neighbours (Å) after each atom.
Atoms (fractional coordinates):
Mo 0.2255 0.0000 0.1716  3 H 2.03-2.04
Mo 0.2745 0.5000 0.8284  3 H 2.03-2.04
Mo 0.7255 0.5000 0.1716  3 H 2.03-2.04
Mo 0.7745 0.0000 0.8284  3 H 2.03-2.04
H 0.0000 0.5000 0.0000  6 Mo 2.03-2.04
H 0.5000 0.0000 0.0000  6 Mo 2.03-2.04
Pt 0.0000 0.0000 0.5000  6 Mo 2.81-2.82, 6 Pt 2.84-2.86
Pt 0.5000 0.5000 0.5000  6 Mo 2.81-2.82, 6 Pt 2.84-2.86

Computed properties:
The energy relative to the lowest polymorph listed for this composition comes out at 0.00 eV per formula unit.

***

[2]
VASP calculation (PBE) on a relaxed structure of MgTi.

a b c (Å): 4.9433 4.9433 5.6099
angles (deg): 90.00 90.00 120.00
With the nearest neighbours (Å) after each atom.
Atoms (fractional coordinates):
Mg 0.3333 0.6667 0.2500  5 Ti 2.80-2.85
Mg 0.6667 0.3333 0.7500  5 Ti 2.80-2.85
Ti 0.3333 0.6667 0.7500  5 Mg 2.80-2.85
Ti 0.6667 0.3333 0.2500  5 Mg 2.80-2.85

Computed properties:
Its calculated formation energy is 1.416 eV per atom.

***

[3]
VASP calculation (PBE) on a relaxed structure of TlSb2Te2.

a b c (Å): 8.9205 8.9205 4.1298
angles (deg): 90.00 90.00 90.00
With the nearest neighbours (Å) after each atom.
Atoms (fractional coordinates):
Tl 0.0000 0.0000 0.0000  4 Sb 3.30
Tl 0.5000 0.5000 0.0000  4 Sb 3.30
Sb 0.1727 0.3273 0.0000  2 Te 2.92
Sb 0.3273 0.8273 0.0000  2 Te 2.92
Sb 0.6727 0.1727 0.0000  2 Te 2.92
Sb 0.8273 0.6727 0.0000  2 Te 2.92
Te 0.1641 0.6641 0.5000  2 Sb 2.92
Te 0.3359 0.1641 0.5000  2 Sb 2.92
Te 0.6641 0.8359 0.5000  2 Sb 2.92
Te 0.8359 0.3359 0.5000  2 Sb 2.92

Computed properties:
The energy relative to the lowest polymorph listed for this composition comes out at 0.08 eV per formula unit. The formation energy from raw total energies comes out at 0.015 eV/atom.

***

[4]
VASP calculation (PBE) on a relaxed structure of MgAgAu2Br.

a b c (Å): 5.3278 5.3278 5.0511
angles (deg): 90.00 90.00 90.00
With the nearest neighbours (Å) after each atom.
Atoms (fractional coordinates):
Mg 0.0000 0.0000 0.0000  8 Au 3.67, 4 Ag 3.77
Ag 0.5000 0.5000 0.0000  2 Br 2.53
Au 0.0000 0.5000 0.5000  2 Br 2.66
Au 0.5000 0.0000 0.5000  2 Br 2.66
Br 0.5000 0.5000 0.5000  2 Ag 2.53, 4 Au 2.66

Computed properties:
The formation energy from raw total energies comes out at 0.672 eV/atom.

***

[5]
VASP calculation (PBE) on a relaxed structure of NaSrTb2Te4.

a b c (Å): 6.3640 6.3640 12.6130
angles (deg): 90.00 90.00 90.00
With the nearest neighbours (Å) after each atom.
Atoms (fractional coordinates):
Na 0.0000 0.0000 0.0000  6 Te 3.08-3.18
Na 0.5000 0.5000 0.5000  6 Te 3.08-3.18
Sr 0.0000 0.0000 0.5000  6 Te 3.18-3.22
Sr 0.5000 0.5000 0.0000  6 Te 3.18-3.22
Tb 0.0000 0.5000 0.2500  6 Te 3.15-3.18
Tb 0.0000 0.5000 0.7500  6 Te 3.15-3.18
Tb 0.5000 0.0000 0.2500  6 Te 3.15-3.18
Tb 0.5000 0.0000 0.7500  6 Te 3.15-3.18
Te 0.0000 0.0000 0.2443  1 Na 3.08, 4 Tb 3.18, 1 Sr 3.22
Te 0.0000 0.0000 0.7557  1 Na 3.08, 4 Tb 3.18, 1 Sr 3.22
Te 0.0000 0.5000 0.0000  2 Tb 3.15, 2 Na 3.18, 2 Sr 3.18
Te 0.0000 0.5000 0.5000  2 Tb 3.15, 2 Na 3.18, 2 Sr 3.18
Te 0.5000 0.0000 0.0000  2 Tb 3.15, 2 Na 3.18, 2 Sr 3.18
Te 0.5000 0.0000 0.5000  2 Tb 3.15, 2 Na 3.18, 2 Sr 3.18
Te 0.5000 0.5000 0.2557  1 Na 3.08, 4 Tb 3.18, 1 Sr 3.22
Te 0.5000 0.5000 0.7443  1 Na 3.08, 4 Tb 3.18, 1 Sr 3.22

Computed properties:
The formation energy from raw total energies comes out at -1.364 eV/atom.

***

[6]
VASP calculation (PBE) on a relaxed structure of Sb2AsPd2.

a b c (Å): 8.1770 8.1770 3.0954
angles (deg): 90.00 90.00 90.00
With the nearest neighbours (Å) after each atom.
Atoms (fractional coordinates):
Sb 0.1734 0.3266 0.0000  6 Pd 2.84-2.89, 2 As 3.02, 2 Sb 3.10
Sb 0.3266 0.8266 0.0000  6 Pd 2.84-2.89, 2 As 3.02, 2 Sb 3.10
Sb 0.6734 0.1734 0.0000  6 Pd 2.84-2.89, 2 As 3.02, 2 Sb 3.10
Sb 0.8266 0.6734 0.0000  6 Pd 2.84-2.89, 2 As 3.02, 2 Sb 3.10
As 0.0000 0.0000 0.0000  4 Sb 3.02, 2 As 3.10
As 0.5000 0.5000 0.0000  4 Sb 3.02, 2 As 3.10
Pd 0.1204 0.6204 0.5000  3 Pd 2.78-3.10, 6 Sb 2.84-2.89
Pd 0.3796 0.1204 0.5000  3 Pd 2.78-3.10, 6 Sb 2.84-2.89
Pd 0.6204 0.8796 0.5000  3 Pd 2.78-3.10, 6 Sb 2.84-2.89
Pd 0.8796 0.3796 0.5000  3 Pd 2.78-3.10, 6 Sb 2.84-2.89

Computed properties:
The energy relative to the lowest polymorph listed for this composition comes out at 0.43 eV per formula unit. The formation energy from raw total energies comes out at -0.030 eV/atom.

***

[7]
VASP calculation (PBE) on a relaxed structure of Ac4DyHg.

a b c (Å): 3.9638 3.9638 14.8001
angles (deg): 90.00 90.00 90.00
With the nearest neighbours (Å) after each atom.
Atoms (fractional coordinates):
Ac 0.0000 0.0000 0.1410  4 Hg 3.49
Ac 0.0000 0.0000 0.8590  4 Hg 3.49
Ac 0.5000 0.5000 0.3320  4 Dy 3.75, 8 Ac 3.96-3.98
Ac 0.5000 0.5000 0.6680  4 Dy 3.75, 8 Ac 3.96-3.98
Dy 0.0000 0.0000 0.5000  8 Ac 3.75, 4 Dy 3.96
Hg 0.5000 0.5000 0.0000  8 Ac 3.49

Computed properties:
Its calculated formation energy is -0.129 eV per atom.

***

[8]
VASP calculation (PBE) on a relaxed structure of LaAlCr.

a b c (Å): 3.3302 3.3302 11.8374
angles (deg): 90.00 90.00 90.00
With the nearest neighbours (Å) after each atom.
Atoms (fractional coordinates):
La 0.0000 0.0000 0.0000  4 Cr 3.23, 4 La 3.33, 5 Al 3.40-3.47
La 0.5000 0.5000 0.5000  4 Cr 3.23, 4 La 3.33, 5 Al 3.40-3.47
Al 0.0000 0.0000 0.2933  4 Cr 2.67
Al 0.5000 0.5000 0.7933  4 Cr 2.67
Cr 0.0000 0.0000 0.6869  4 Al 2.67
Cr 0.5000 0.5000 0.1869  4 Al 2.67

Computed properties:
Its calculated formation energy is 0.146 eV per atom.

***

[9]
VASP calculation (PBE) on a relaxed structure of SrGa3Co.

a b c (Å): 5.1985 6.2231 6.6855
angles (deg): 117.72 91.34 90.00
With the nearest neighbours (Å) after each atom.
Atoms (fractional coordinates):
Sr 0.0109 0.3480 0.1967  3 Co 3.20-3.52, 11 Ga 3.21-3.48
Sr 0.9891 0.6520 0.8033  3 Co 3.20-3.52, 11 Ga 3.21-3.48
Ga 0.1614 0.0875 0.6745  3 Co 2.52-2.73, 3 Ga 2.63-2.78
Ga 0.5000 0.0000 0.0000  2 Co 2.44
Ga 0.4997 0.2980 0.5004  2 Co 2.48, 2 Ga 2.52-2.77
Ga 0.5000 0.5000 0.0000  2 Co 2.44
Ga 0.5003 0.7020 0.4996  2 Co 2.48, 2 Ga 2.52-2.77
Ga 0.8386 0.9125 0.3255  3 Co 2.52-2.73, 3 Ga 2.63-2.78
Co 0.3165 0.8845 0.2691  7 Ga 2.44-2.73
Co 0.6835 0.1155 0.7309  7 Ga 2.44-2.73

Computed properties:
Its calculated formation energy is -0.333 eV per atom.

***

[10]
VASP calculation (PBE) on a relaxed structure of YTl2C.

a b c (Å): 7.1685 7.1685 7.1685
angles (deg): 90.00 90.00 90.00
With the nearest neighbours (Å) after each atom.
Atoms (fractional coordinates):
Y 0.0000 0.0000 0.0000  8 Tl 3.10
Y 0.0000 0.5000 0.5000  8 Tl 3.10
Y 0.5000 0.0000 0.5000  8 Tl 3.10
Y 0.5000 0.5000 0.0000  8 Tl 3.10
Tl 0.2500 0.2500 0.2500  4 C 3.10, 4 Y 3.10
Tl 0.2500 0.2500 0.7500  4 C 3.10, 4 Y 3.10
Tl 0.2500 0.7500 0.2500  4 C 3.10, 4 Y 3.10
Tl 0.2500 0.7500 0.7500  4 C 3.10, 4 Y 3.10
Tl 0.7500 0.2500 0.2500  4 C 3.10, 4 Y 3.10
Tl 0.7500 0.2500 0.7500  4 C 3.10, 4 Y 3.10
Tl 0.7500 0.7500 0.2500  4 C 3.10, 4 Y 3.10
Tl 0.7500 0.7500 0.7500  4 Y 3.10, 4 C 3.10
C 0.0000 0.0000 0.5000  8 Tl 3.10
C 0.0000 0.5000 0.0000  8 Tl 3.10
C 0.5000 0.0000 0.0000  8 Tl 3.10
C 0.5000 0.5000 0.5000  8 Tl 3.10

Computed properties:
The energy relative to the lowest polymorph listed for this composition comes out at 2.27 eV per formula unit. Its calculated formation energy is 1.160 eV per atom.

***

[11]
VASP calculation (PBE) on a relaxed structure of Hf7Fe2Hg2.

a b c (Å): 6.2427 6.2427 6.3631
angles (deg): 90.00 90.00 105.79
With the nearest neighbours (Å) after each atom.
Atoms (fractional coordinates):
Hf 0.0000 0.0000 0.0000  2 Fe 2.86
Hf 0.0000 0.5000 0.2393  2 Fe 2.45
Hf 0.0000 0.5000 0.7607  2 Fe 2.45
Hf 0.5000 0.0000 0.2393  2 Fe 2.45
Hf 0.5000 0.0000 0.7607  2 Fe 2.45
Hf 0.5000 0.5000 0.2359  2 Fe 2.60
Hf 0.5000 0.5000 0.7641  2 Fe 2.60
Fe 0.2872 0.7128 0.0000  6 Hf 2.45-2.60
Fe 0.7128 0.2872 0.0000  6 Hf 2.45-2.60
Hg 0.1838 0.1838 0.5000  1 Hg 2.77, 6 Hf 2.91-3.03
Hg 0.8162 0.8162 0.5000  1 Hg 2.77, 6 Hf 2.91-3.03

Computed properties:
Its calculated formation energy is 0.095 eV per atom.

***

[12]
VASP calculation (PBE) on a relaxed structure of TbDy2Te.

a b c (Å): 3.8807 3.8807 29.2842
angles (deg): 90.00 90.00 120.00
With the nearest neighbours (Å) after each atom.
Atoms (fractional coordinates):
Tb 0.0000 0.0000 0.0000  6 Dy 3.55-3.57, 6 Tb 3.88
Tb 0.3333 0.6667 0.6667  6 Dy 3.55-3.57, 6 Tb 3.88
Tb 0.6667 0.3333 0.3333  6 Dy 3.55-3.57, 6 Tb 3.88
Dy 0.0000 0.0000 0.2386  3 Te 3.08
Dy 0.0000 0.0000 0.4274  3 Te 3.08
Dy 0.3333 0.6667 0.0940  3 Te 3.08
Dy 0.3333 0.6667 0.9053  3 Te 3.08
Dy 0.6667 0.3333 0.5719  3 Te 3.08
Dy 0.6667 0.3333 0.7607  3 Te 3.08
Te 0.0000 0.0000 0.8331  6 Dy 3.08
Te 0.3333 0.6667 0.4997  6 Dy 3.08
Te 0.6667 0.3333 0.1664  6 Dy 3.08

Computed properties:
The energy relative to the lowest polymorph listed for this composition comes out at 0.49 eV per formula unit. The formation energy from raw total energies comes out at -0.531 eV/atom.